(1)
First-principles (GGA-PBE) data for an optimized crystal structure of NdThSi2Ni2, as listed in the Alexandria database.

## Properties
calculated volume: 19.68 A^3/atom
formation energy without anion corrections: -74 kJ per mole of atoms

Cell and atoms, written as POSCAR:
```
NdThSi2Ni2
1.0
-0.9317 1.0722 -3.7970
-1.1057 -3.6371 1.4084
-7.1700 3.2123 2.6665
Nd Th Si Ni
1 1 2 2
Cartesian
0.0000 0.0000 0.0000 Nd
-3.5850 1.6062 1.3333 Th
-2.7840 0.3063 -1.3946 Si
-6.4235 0.3411 1.6725 Si
-6.3014 1.8822 -0.0864 Ni
-2.9060 -1.2348 0.3644 Ni
```


(2)
First-principles (GGA-PBE) data for an optimized crystal structure of YScPaO6, as listed in the Alexandria database.

## Properties
calculated volume: 14.21 A^3/atom
formation energy without anion corrections: -309 kJ per mole of atoms

Cell and atoms, written as POSCAR:
```
YScPaO6
1.0
-1.6339 -0.6635 -4.3553
-1.3615 -5.2760 1.3145
-3.7151 4.1267 0.7651
Y Sc Pa O
1 1 1 6
Cartesian
-2.9630 -2.4735 -1.0463 Y
-0.8169 -0.3317 -2.1777 Sc
-2.9306 0.9925 0.9482 Pa
-4.6671 -1.1893 -1.8230 O
-5.2902 1.9057 -2.0607 O
-2.4652 0.7867 -2.9500 O
-2.0835 -0.4630 -0.4622 O
-4.9855 0.3576 0.5015 O
-2.9936 2.5669 -0.5823 O
```


(3)
First-principles (GGA-PBE) data for an optimized crystal structure of RuOF3, as listed in the Alexandria database.

## Properties
calculated volume: 12.86 A^3/atom
formation energy without anion corrections: -31 kJ per mole of atoms
relative energy among the computed polymorphs: 0.992 eV per atom

Cell and atoms, written as POSCAR:
```
RuOF3
1.0
-3.0656 -1.7625 -1.8821
2.4627 -2.8679 -1.3256
-0.7642 -2.1716 3.2783
Ru O F
1 1 3
Cartesian
0.0000 0.0000 0.0000 Ru
-0.6835 -3.4010 0.0353 O
1.2313 -1.4339 -0.6628 F
-0.3821 -1.0858 1.6391 F
-1.5328 -0.8813 -0.9410 F
```


Question: Number 3 is which compound?
Answer: RuOF3


Question: What is the formula in the first record?
Answer: NdThSi2Ni2


Question: Look up the calculated volume of the third one.
Answer: 12.86 A^3/atom


Question: What is the formation energy without anion corrections in the second record?
Answer: -309 kJ per mole of atoms